DFT (PBE-GGA) results for a relaxed structure of Mn5MoIr.

Cell: 4.6191 7.7455 9.8273 Å, 90.00 90.00 90.00°
Last column: nearest neighbours and their distance in Å.
Fractional positions:
Mn  0.2500  0.5905  0.0242  5 Mn 2.35-2.37
Mn  0.7500  0.9095  0.5242  5 Mn 2.35-2.37
Mn  0.2500  0.0905  0.4758  5 Mn 2.35-2.37
Mn  0.7500  0.4095  0.9758  5 Mn 2.35-2.37
Mn  0.7500  0.3077  0.7501  6 Mn 2.27-2.47
Mn  0.2500  0.1923  0.2501  6 Mn 2.27-2.47
Mn  0.7500  0.8077  0.7499  6 Mn 2.27-2.47
Mn  0.2500  0.6923  0.2499  6 Mn 2.27-2.47
Mn  0.2500  0.9509  0.0866  1 Ir 2.41, 4 Mn 2.47-2.57
Mn  0.7500  0.5491  0.5866  1 Ir 2.41, 4 Mn 2.47-2.57
Mn  0.2500  0.4509  0.4134  1 Ir 2.41, 4 Mn 2.47-2.57
Mn  0.7500  0.0491  0.9134  1 Ir 2.41, 4 Mn 2.47-2.57
Mn  0.9910  0.4282  0.1887  6 Mn 2.23-2.44
Mn  0.0090  0.0718  0.6887  6 Mn 2.23-2.44
Mn  0.5090  0.9282  0.3113  6 Mn 2.23-2.44
Mn  0.4910  0.5718  0.8113  6 Mn 2.23-2.44
Mn  0.0090  0.5718  0.8113  6 Mn 2.23-2.44
Mn  0.9910  0.9282  0.3113  6 Mn 2.23-2.44
Mn  0.4910  0.0718  0.6887  6 Mn 2.23-2.44
Mn  0.5090  0.4282  0.1887  6 Mn 2.23-2.44
Mo  0.2500  0.2506  0.9386  6 Mn 2.64-2.80
Mo  0.7500  0.2494  0.4386  6 Mn 2.64-2.80
Mo  0.2500  0.7506  0.5614  6 Mn 2.64-2.80
Mo  0.7500  0.7494  0.0614  6 Mn 2.64-2.80
Ir  0.2500  0.8661  0.8510  7 Mn 2.41-2.57
Ir  0.7500  0.6339  0.3510  7 Mn 2.41-2.57
Ir  0.2500  0.3661  0.6490  7 Mn 2.41-2.57
Ir  0.7500  0.1339  0.1490  7 Mn 2.41-2.57

Final energy   -261.77 eV per cell
Formation energy from the elements   0.01 eV/atom